[1]
ScSb2Au2 after structural relaxation, computed with GGA-PBE.

Calculated values
- N(E_F) (states/eV per atom) = 0.33
- formation energy (no corrections) (eV/atom) = -0.220
- DFT total energy (eV per cell) = -22.2
- SG = I4/mmm, No. 139

The structure in CIF format:
```
data_ScSb2Au2
_symmetry_space_group_name_H-M 'P 1'
_symmetry_Int_Tables_number 1
_symmetry_space_group_name_Hall 'P 1'
_cell_length_a 3.9100
_cell_length_b 3.9100
_cell_length_c 8.0961
_cell_angle_alpha 76.03
_cell_angle_beta 76.03
_cell_angle_gamma 90.00
loop_
_atom_site_label
_atom_site_fract_x
_atom_site_fract_y
_atom_site_fract_z
Sc1 0.0000 0.0000 0.0000
Sb1 0.3994 0.3994 0.2012
Sb2 0.6006 0.6006 0.7988
Au1 0.7500 0.2500 0.5000
Au2 0.2500 0.7500 0.5000
```


[2]
NaAlW2 after structural relaxation, computed with GGA-PBE.

Calculated values
- N(E_F) (states/eV per atom) = 0.36
- DFT total energy (eV per cell) = -53.3
- formation energy (eV/atom) = 1.084
- SG = I-42d, No. 122

The structure in CIF format:
```
data_NaAlW2
_symmetry_space_group_name_H-M 'P 1'
_symmetry_Int_Tables_number 1
_symmetry_space_group_name_Hall 'P 1'
_cell_length_a 3.8268
_cell_length_b 3.8268
_cell_length_c 10.2776
_cell_angle_alpha 79.27
_cell_angle_beta 79.27
_cell_angle_gamma 90.00
loop_
_atom_site_label
_atom_site_fract_x
_atom_site_fract_y
_atom_site_fract_z
Na1 0.5000 0.5000 0.0000
Na2 0.2500 0.7500 0.5000
Al1 0.0000 0.0000 0.0000
Al2 0.7500 0.2500 0.5000
W1 0.6453 0.1250 0.2500
W2 0.1047 0.6250 0.2500
W3 0.3750 0.3547 0.7500
W4 0.8750 0.8953 0.7500
```


[3]
Dy5Cd2Ag2 after structural relaxation, computed with GGA-PBE.

Calculated values
- N(E_F) (states/eV per atom) = 1.01
- DFT total energy (eV per cell) = -64.4
- formation energy (eV/atom) = -0.184
- SG = Cmce, No. 64

The structure in CIF format:
```
data_Dy5Cd2Ag2
_symmetry_space_group_name_H-M 'P 1'
_symmetry_Int_Tables_number 1
_symmetry_space_group_name_Hall 'P 1'
_cell_length_a 7.5033
_cell_length_b 7.4505
_cell_length_c 9.4719
_cell_angle_alpha 113.16
_cell_angle_beta 90.00
_cell_angle_gamma 90.00
loop_
_atom_site_label
_atom_site_fract_x
_atom_site_fract_y
_atom_site_fract_z
Dy1 0.0000 0.0000 0.0000
Dy2 0.5000 0.5000 0.0000
Dy3 0.8222 0.8169 0.2680
Dy4 0.1778 0.4510 0.2680
Dy5 0.3222 0.9510 0.2680
Dy6 0.6778 0.3169 0.2680
Dy7 0.1778 0.1831 0.7320
Dy8 0.8222 0.5490 0.7320
Dy9 0.6778 0.0490 0.7320
Dy10 0.3222 0.6831 0.7320
Cd1 0.0000 0.2238 0.4475
Cd2 0.5000 0.7238 0.4475
Cd3 0.0000 0.7762 0.5525
Cd4 0.5000 0.2762 0.5525
Ag1 0.6300 0.8721 0.0000
Ag2 0.3700 0.1279 0.0000
Ag3 0.1300 0.6279 0.0000
Ag4 0.8700 0.3721 0.0000
```


[4]
BaNpZnN3 after structural relaxation, computed with GGA-PBE.

Calculated values
- N(E_F) (states/eV per atom) = 0.93
- formation energy (no corrections) (eV/atom) = -0.665
- DFT total energy (eV per cell) = -90.2
- SG = P2_1/m, No. 11

The structure in CIF format:
```
data_BaNpZnN3
_symmetry_space_group_name_H-M 'P 1'
_symmetry_Int_Tables_number 1
_symmetry_space_group_name_Hall 'P 1'
_cell_length_a 3.5910
_cell_length_b 7.6635
_cell_length_c 7.8124
_cell_angle_alpha 106.36
_cell_angle_beta 90.00
_cell_angle_gamma 90.00
loop_
_atom_site_label
_atom_site_fract_x
_atom_site_fract_y
_atom_site_fract_z
Ba1 0.2500 0.2108 0.2374
Ba2 0.7500 0.7892 0.7626
Np1 0.2500 0.6686 0.1541
Np2 0.7500 0.3314 0.8459
Zn1 0.2500 0.0832 0.6042
Zn2 0.7500 0.9168 0.3958
N1 0.7500 0.8463 0.1299
N2 0.2500 0.1537 0.8701
N3 0.2500 0.8042 0.4553
N4 0.7500 0.1958 0.5447
N5 0.7500 0.4666 0.1301
N6 0.2500 0.5334 0.8699
```


[5]
Tb7Sm3Tm after structural relaxation, computed with GGA-PBE.

Calculated values
- N(E_F) (states/eV per atom) = 1.48
- DFT total energy (eV per cell) = -49.5
- formation energy (eV/atom) = 0.139
- SG = P2/m, No. 10

The structure in CIF format:
```
data_Tb7Sm3Tm
_symmetry_space_group_name_H-M 'P 1'
_symmetry_Int_Tables_number 1
_symmetry_space_group_name_Hall 'P 1'
_cell_length_a 8.8987
_cell_length_b 10.0748
_cell_length_c 5.5447
_cell_angle_alpha 90.01
_cell_angle_beta 128.53
_cell_angle_gamma 106.39
loop_
_atom_site_label
_atom_site_fract_x
_atom_site_fract_y
_atom_site_fract_z
Tb1 0.9065 0.8289 0.9066
Tb2 0.8150 0.6369 0.3152
Tb3 0.6422 0.2897 0.1425
Tb4 0.3578 0.7103 0.8575
Tb5 0.5000 0.0000 0.5000
Tb6 0.1850 0.3631 0.6848
Tb7 0.0935 0.1711 0.0934
Sm1 0.2165 0.9968 0.7168
Sm2 0.0000 0.5000 0.0000
Sm3 0.7835 0.0032 0.2832
Tm1 0.5000 0.5000 0.5000
```


[6]
Y2MoPd2 after structural relaxation, computed with GGA-PBE.

Calculated values
- N(E_F) (states/eV per atom) = 0.71
- DFT total energy (eV per cell) = -71.1
- formation energy (eV/atom) = -0.279
- SG = P4/mbm, No. 127

The structure in CIF format:
```
data_Y2MoPd2
_symmetry_space_group_name_H-M 'P 1'
_symmetry_Int_Tables_number 1
_symmetry_space_group_name_Hall 'P 1'
_cell_length_a 7.0241
_cell_length_b 7.0241
_cell_length_c 4.3242
_cell_angle_alpha 90.00
_cell_angle_beta 90.00
_cell_angle_gamma 90.00
loop_
_atom_site_label
_atom_site_fract_x
_atom_site_fract_y
_atom_site_fract_z
Y1 0.1760 0.6760 0.5000
Y2 0.6760 0.8240 0.5000
Y3 0.8240 0.3240 0.5000
Y4 0.3240 0.1760 0.5000
Mo1 0.0000 0.0000 0.0000
Mo2 0.5000 0.5000 0.0000
Pd1 0.3649 0.8649 0.0000
Pd2 0.8649 0.6351 0.0000
Pd3 0.6351 0.1351 0.0000
Pd4 0.1351 0.3649 0.0000
```


[7]
SrHfNpO6 after structural relaxation, computed with GGA-PBE.

Calculated values
- formation energy (no corrections) (eV/atom) = -3.139
- DFT total energy (eV per cell) = -165.2
- SG = P-31c, No. 163

The structure in CIF format:
```
data_SrHfNpO6
_symmetry_space_group_name_H-M 'P 1'
_symmetry_Int_Tables_number 1
_symmetry_space_group_name_Hall 'P 1'
_cell_length_a 5.6263
_cell_length_b 5.6263
_cell_length_c 10.5051
_cell_angle_alpha 90.00
_cell_angle_beta 90.00
_cell_angle_gamma 120.00
loop_
_atom_site_label
_atom_site_fract_x
_atom_site_fract_y
_atom_site_fract_z
Sr1 0.0000 0.0000 0.0000
Sr2 0.0000 0.0000 0.5000
Hf1 0.3333 0.6667 0.2500
Hf2 0.6667 0.3333 0.7500
Np1 0.6667 0.3333 0.2500
Np2 0.3333 0.6667 0.7500
O1 0.6299 0.6277 0.1458
O2 0.9978 0.3701 0.1458
O3 0.3701 0.9978 0.6458
O4 0.0022 0.6299 0.8542
O5 0.3723 0.3701 0.3542
O6 0.9978 0.6277 0.3542
O7 0.6277 0.9978 0.8542
O8 0.6299 0.0022 0.3542
O9 0.0022 0.3723 0.6458
O10 0.3723 0.0022 0.1458
O11 0.6277 0.6299 0.6458
O12 0.3701 0.3723 0.8542
```


[8]
ZrHgS2 after structural relaxation, computed with GGA-PBE.

Calculated values
- N(E_F) (states/eV per atom) = 0.00
- formation energy (no corrections) (eV/atom) = -0.959
- DFT total energy (eV per cell) = -83.8
- SG = Pnma, No. 62

The structure in CIF format:
```
data_ZrHgS2
_symmetry_space_group_name_H-M 'P 1'
_symmetry_Int_Tables_number 1
_symmetry_space_group_name_Hall 'P 1'
_cell_length_a 9.9119
_cell_length_b 3.5979
_cell_length_c 14.9669
_cell_angle_alpha 90.00
_cell_angle_beta 90.00
_cell_angle_gamma 90.00
loop_
_atom_site_label
_atom_site_fract_x
_atom_site_fract_y
_atom_site_fract_z
S1 0.6422 0.2500 0.5498
S2 0.8578 0.7500 0.0498
S3 0.3578 0.7500 0.4502
S4 0.1422 0.2500 0.9502
S5 0.3616 0.2500 0.6896
S6 0.1384 0.7500 0.1896
S7 0.6384 0.7500 0.3104
S8 0.8616 0.2500 0.8104
Hg1 0.0171 0.2500 0.5964
Hg2 0.4829 0.7500 0.0964
Hg3 0.9829 0.7500 0.4036
Hg4 0.5171 0.2500 0.9036
Zr1 0.5397 0.2500 0.4001
Zr2 0.9603 0.7500 0.9001
Zr3 0.4603 0.7500 0.5999
Zr4 0.0397 0.2500 0.0999
```


Which V belongs to each record? In order, 23.3, 18.2, 27.0, 17.2, 33.0, 21.3, 16.0, 33.4 Å³ per atom.